1.
The following is a DFT calculation (GGA-PBE) of YFe3Tc after structural relaxation.

Cell lengths 4.510, 4.510, 4.510 Å; angles 90.00, 90.00, 90.00 degrees
Fractional positions:
Y 0.500 0.500 0.500
Tc 0.000 0.000 0.000
Fe 0.000 0.500 0.000
Fe 0.000 0.000 0.500
Fe 0.500 0.000 0.000

- relative energy among the computed polymorphs (meV per atom) = 0

2.
The following is a DFT calculation (GGA-PBE) of Y2FeTc2 after structural relaxation.

Cell lengths 6.448, 6.448, 4.684 Å; angles 90.00, 90.00, 90.00 degrees
Fractional positions:
Y 0.179 0.679 0.500
Y 0.679 0.821 0.500
Y 0.821 0.321 0.500
Y 0.321 0.179 0.500
Tc 0.366 0.866 0.000
Tc 0.866 0.634 0.000
Tc 0.634 0.134 0.000
Tc 0.134 0.366 0.000
Fe 0.000 0.000 0.000
Fe 0.500 0.500 0.000

3.
The following is a DFT calculation (GGA-PBE) of Y2Fe3Tc after structural relaxation.

Cell lengths 5.229, 5.229, 5.195 Å; angles 90.06, 120.13, 120.02 degrees
Fractional positions:
Y 0.749 0.374 0.123
Y 0.251 0.626 0.877
Fe 0.500 0.500 0.500
Fe 0.000 0.000 0.500
Fe 0.500 0.000 0.500
Tc 0.000 0.000 0.000

Results for energy: -7.671; -8.256; -8.174 (in eV/atom, following the order of the records).
Results for magnetic moment: 0.9837; 0.0010; 0.8169 (in μB/atom, following the order of the records).